This record from the Alexandria database describes an optimized crystal structure of YCrPtO2. The functional is PBE+U.

Values from the calculation:
- Calculated volume: 17.032 A^3/atom
- Calculated total energy: -6.034 eV per atom
- Space group: No. 123
- Calculated density: 7.18 g/cm3

Unit cell a=4.2085 b=4.8084 c=4.2085 alpha=90.00 beta=90.00 gamma=90.00
With the nearest neighbours (Å) after each atom.
Positions (direct):
Cr  0.0000  0.5000  0.0000  2 Pt 2.40
Y  0.5000  0.5000  0.5000  4 Cr 2.98, 8 O 3.19
Pt  0.0000  0.0000  0.0000  4 O 2.10
O  0.5000  0.0000  0.0000  2 Pt 2.10
O  0.0000  0.0000  0.5000  2 Pt 2.10